1.
Entry from Alexandria via LeMat-Bulk: a relaxed VGaCoRu crystal (PBE).

## Properties
Formation energy from the elements = -320 meV per atom
Space-group type = P4mm (99)

POSCAR file:
```
VGaCoRu
1.0
2.997 0.000 0.000
0.000 2.997 0.000
0.000 0.000 5.755
V Ga Co Ru
1 1 1 1
Cartesian
0.000 0.000 0.000 V
0.000 0.000 3.004 Ga
1.498 1.498 4.363 Co
1.498 1.498 1.420 Ru
```

---

2.
Entry from Alexandria via LeMat-Bulk: a relaxed Y2Ga5Co2Ru crystal (PBE).

## Properties
Formation energy from the elements = -369 meV per atom
Space-group type = P4/mbm (127)

POSCAR file:
```
Y2Ga5Co2Ru
1.0
9.110 0.000 0.000
0.000 9.110 0.000
0.000 0.000 3.969
Y Ga Co Ru
4 10 4 2
Cartesian
1.648 2.908 0.000 Y
2.908 7.463 0.000 Y
6.203 1.648 0.000 Y
7.463 6.203 0.000 Y
0.000 4.555 1.985 Ga
0.532 7.261 1.985 Ga
1.849 0.532 1.985 Ga
2.706 5.087 1.985 Ga
4.023 2.706 1.985 Ga
4.555 0.000 1.985 Ga
5.087 6.404 1.985 Ga
6.404 4.023 1.985 Ga
7.261 8.578 1.985 Ga
8.578 1.849 1.985 Ga
1.043 5.599 0.000 Co
3.512 1.043 0.000 Co
5.599 8.067 0.000 Co
8.067 3.512 0.000 Co
0.000 0.000 0.000 Ru
4.555 4.555 0.000 Ru
```

---

3.
Entry from Alexandria via LeMat-Bulk: a relaxed YGa4Co2Ru crystal (PBE).

## Properties
Formation energy from the elements = -380 meV per atom
Space-group type = R-3m (166)

POSCAR file:
```
YGa4Co2Ru
1.0
2.048 1.182 8.644
-2.048 1.182 8.644
0.000 -2.365 8.644
Y Ga Co Ru
1 4 2 1
Cartesian
0.000 0.000 0.000 Y
0.000 0.000 3.358 Ga
0.000 0.000 10.426 Ga
0.000 0.000 15.505 Ga
0.000 0.000 22.573 Ga
0.000 0.000 6.136 Co
0.000 0.000 19.795 Co
0.000 0.000 12.966 Ru
```

---

Question: formation energy from the elements of number 1 (VGaCoRu)?
Answer: -320 meV per atom